## a
The following is a PBE-GGA calculation of crystalline BaBi2F at its relaxed geometry, from Alexandria via LeMat-Bulk.

Its space group is I-42d (122). The value obtained for the density of states at the Fermi level is 0.9 states/eV per cell. Its calculated volume is 37.416 Å³/atom. The value obtained for the theoretical density is 6.37 Mg/m³.

Unit cell a=6.0922 b=6.0922 c=9.1433 alpha=70.54 beta=70.54 gamma=90.00
Last column: nearest neighbours and their distance in Å.
Element x y z (fractional)
1 F 0.5000 0.5000 0.0000  4 Bi 2.55
2 F 0.2500 0.7500 0.5000  4 Bi 2.55
3 Bi 0.4317 0.1250 0.2500  2 F 2.55
4 Bi 0.3183 0.6250 0.2500  2 F 2.55
5 Bi 0.3750 0.5683 0.7500  2 F 2.55
6 Bi 0.8750 0.6817 0.7500  2 F 2.55
7 Ba 0.0000 0.0000 0.0000  4 Bi 3.70
8 Ba 0.7500 0.2500 0.5000  4 Bi 3.70


## b
The following is a PBE-GGA calculation of crystalline BaBi2F at its relaxed geometry, from Alexandria via LeMat-Bulk.

Its space group is Fm-3m (225). The value obtained for the density of states at the Fermi level is 4.5 states/eV per cell. Its calculated volume is 31.001 Å³/atom. The value obtained for the theoretical density is 7.69 Mg/m³.

Unit cell a=5.5974 b=5.5974 c=5.5974 alpha=60.00 beta=60.00 gamma=60.00
Last column: nearest neighbours and their distance in Å.
Element x y z (fractional)
1 F 0.0000 0.0000 0.0000  8 Bi 3.43
2 Bi 0.2500 0.2500 0.2500  4 Ba 3.43, 4 F 3.43
3 Bi 0.7500 0.7500 0.7500  4 Ba 3.43, 4 F 3.43
4 Ba 0.5000 0.5000 0.5000  8 Bi 3.43


Most stable structure - a; separation to the second - 29.2 kJ/mol of atoms.


## a
The following is a PBE-GGA calculation of crystalline BaBiN2F at its relaxed geometry, from Alexandria via LeMat-Bulk.

Its space group is P4/mmm (123). The value obtained for the density of states at the Fermi level is 1.1 states/eV per cell. Its calculated volume is 18.188 Å³/atom. The value obtained for the theoretical density is 7.18 Mg/m³.

Unit cell a=4.4095 b=4.4095 c=4.6769 alpha=90.00 beta=90.00 gamma=90.00
Last column: nearest neighbours and their distance in Å.
Element x y z (fractional)
1 N 0.0000 0.5000 0.0000  2 Bi 2.20
2 N 0.5000 0.0000 0.0000  2 Bi 2.20
3 F 0.0000 0.0000 0.5000  2 Bi 2.34
4 Bi 0.0000 0.0000 0.0000  4 N 2.20, 2 F 2.34
5 Ba 0.5000 0.5000 0.5000  4 F 3.12, 8 N 3.21


## b
The following is a PBE-GGA calculation of crystalline BaBiN2F at its relaxed geometry, from Alexandria via LeMat-Bulk.

Its space group is P4/mmm (123). The value obtained for the density of states at the Fermi level is 1.1 states/eV per cell. Its calculated volume is 21.058 Å³/atom. The value obtained for the theoretical density is 6.20 Mg/m³.

Unit cell a=4.7321 b=4.7321 c=4.7019 alpha=90.00 beta=90.00 gamma=90.00
Last column: nearest neighbours and their distance in Å.
Element x y z (fractional)
1 N 0.0000 0.5000 0.0000  2 Ba 2.37
2 N 0.5000 0.0000 0.0000  2 Ba 2.37
3 F 0.0000 0.0000 0.5000  2 Ba 2.35
4 Bi 0.5000 0.5000 0.5000  8 N 3.34, 4 F 3.35
5 Ba 0.0000 0.0000 0.0000  2 F 2.35, 4 N 2.37


Most stable structure - a; separation to the second - 105.4 kJ/mol of atoms.


## a
The following is a PBE-GGA calculation of crystalline BaFeBi3 at its relaxed geometry, from Alexandria via LeMat-Bulk.

Its space group is Pm-3m (221). The value obtained for the density of states at the Fermi level is 9.5 states/eV per cell. Its calculated volume is 30.573 Å³/atom. The value obtained for the theoretical density is 8.91 Mg/m³.

Unit cell a=5.3469 b=5.3469 c=5.3469 alpha=90.00 beta=90.00 gamma=90.00
Last column: nearest neighbours and their distance in Å.
Element x y z (fractional)
1 Fe 0.0000 0.0000 0.0000  6 Bi 2.67
2 Bi 0.0000 0.5000 0.0000  2 Fe 2.67
3 Bi 0.0000 0.0000 0.5000  2 Fe 2.67
4 Bi 0.5000 0.0000 0.0000  2 Fe 2.67
5 Ba 0.5000 0.5000 0.5000  12 Bi 3.78


## b
The following is a PBE-GGA calculation of crystalline BaFeBi3 at its relaxed geometry, from Alexandria via LeMat-Bulk.

Its space group is Pm-3m (221). The value obtained for the density of states at the Fermi level is 13.2 states/eV per cell. Its calculated volume is 50.293 Å³/atom. The value obtained for the theoretical density is 5.42 Mg/m³.

Unit cell a=6.3119 b=6.3119 c=6.3119 alpha=90.00 beta=90.00 gamma=90.00
Last column: nearest neighbours and their distance in Å.
Element x y z (fractional)
1 Fe 0.5000 0.5000 0.5000  12 Bi 4.46
2 Bi 0.0000 0.5000 0.0000  2 Ba 3.16
3 Bi 0.0000 0.0000 0.5000  2 Ba 3.16
4 Bi 0.5000 0.0000 0.0000  2 Ba 3.16
5 Ba 0.0000 0.0000 0.0000  6 Bi 3.16


Most stable structure - a; separation to the second - 140.3 kJ/mol of atoms.


## a
The following is a PBE-GGA calculation of crystalline BaGa2Bi2 at its relaxed geometry, from Alexandria via LeMat-Bulk.

Its space group is I4/mmm (139). The value obtained for the density of states at the Fermi level is 2.2 states/eV per cell. Its calculated volume is 33.213 Å³/atom. The value obtained for the theoretical density is 6.95 Mg/m³.

Unit cell a=5.1566 b=5.1566 c=7.2318 alpha=69.11 beta=69.11 gamma=90.00
Last column: nearest neighbours and their distance in Å.
Element x y z (fractional)
1 Bi 0.3696 0.3696 0.2609  4 Ga 2.98, 1 Bi 3.26
2 Bi 0.6304 0.6304 0.7391  4 Ga 2.98, 1 Bi 3.26
3 Ga 0.7500 0.2500 0.5000  4 Bi 2.98
4 Ga 0.2500 0.7500 0.5000  4 Bi 2.98
5 Ba 0.0000 0.0000 0.0000  8 Bi 3.99, 8 Ga 4.05


## b
The following is a PBE-GGA calculation of crystalline BaGa2Bi2 at its relaxed geometry, from Alexandria via LeMat-Bulk.

Its space group is P4/mbm (127). The value obtained for the density of states at the Fermi level is 4.6 states/eV per cell. Its calculated volume is 29.891 Å³/atom. The value obtained for the theoretical density is 7.72 Mg/m³.

Unit cell a=8.5096 b=8.5096 c=4.1278 alpha=90.00 beta=90.00 gamma=90.00
Last column: nearest neighbours and their distance in Å.
Element x y z (fractional)
1 Bi 0.1562 0.6562 0.5000  6 Ga 3.13-3.42
2 Bi 0.6562 0.8438 0.5000  6 Ga 3.13-3.42
3 Bi 0.8438 0.3438 0.5000  6 Ga 3.13-3.42
4 Bi 0.3438 0.1562 0.5000  6 Ga 3.13-3.42
5 Ga 0.3824 0.8824 0.0000  1 Ga 2.83, 4 Bi 3.13
6 Ga 0.8824 0.6176 0.0000  1 Ga 2.83, 4 Bi 3.13
7 Ga 0.6176 0.1176 0.0000  1 Ga 2.83, 4 Bi 3.13
8 Ga 0.1176 0.3824 0.0000  1 Ga 2.83, 4 Bi 3.13
9 Ba 0.0000 0.0000 0.0000  4 Ga 3.40
10 Ba 0.5000 0.5000 0.0000  4 Ga 3.40


Most stable structure - a; separation to the second - 2.3 kJ/mol of atoms.